# BaLiInAg2

BaLiInAg2 after structural relaxation (PBE-GGA, the Alexandria database).

Results
- total energy (eV per atom) = -2.73
- formation enthalpy at 0 K (kJ/mol of formula units) = -131
- M_tot (μB per cell) = 0.0

Lattice parameters (Å, degrees): 4.5771 4.5771 12.6305 90.00 90.00 90.00
Space group I-4m2 (No. 119)
Symmetry-distinct sites (fractional):
Ba  0.0000  0.0000  0.0000 x2
Li  0.0000  0.5000  0.2500 x2
In  0.0000  0.5000  0.7500 x2
Ag  0.0000  0.0000  0.3858 x4